The following is a PBE-GGA calculation of Cs3OsW after structural relaxation, from the Alexandria database.

Structure (POSCAR):
```
Cs3OsW
1.0
6.0961 0.0000 0.0000
0.0000 6.0961 0.0000
0.0000 0.0000 6.0961
Cs Os W
3 1 1
Direct
0.0000 0.0000 0.5000
0.0000 0.5000 0.0000
0.5000 0.0000 0.0000
0.0000 0.0000 0.0000
0.5000 0.5000 0.5000
```

The electronic total energy comes out at -15.28 eV/f.u. For the formation enthalpy at 0 K, the calculation gives 2.29 eV/atom. Its density of states at the Fermi level is 0.429 states/eV per atom.



The following is a PBE-GGA calculation of Be2Tl2Pd after structural relaxation, from the Alexandria database.

Structure (POSCAR):
```
Be2Tl2Pd
1.0
3.1680 0.0000 0.0000
0.0000 3.1680 0.0000
0.0000 0.0000 17.4269
Be Tl Pd
4 4 2
Direct
0.0000 0.5000 0.2500
0.0000 0.5000 0.7500
0.5000 0.0000 0.2500
0.5000 0.0000 0.7500
0.0000 0.0000 0.1101
0.0000 0.0000 0.8899
0.5000 0.5000 0.3899
0.5000 0.5000 0.6101
0.0000 0.0000 0.5000
0.5000 0.5000 0.0000
```

The electronic total energy comes out at -15.48 eV/f.u. For the formation enthalpy at 0 K, the calculation gives 0.38 eV/atom. Its density of states at the Fermi level is 0.354 states/eV per atom.



The following is a PBE-GGA calculation of CaCuIr2 after structural relaxation, from the Alexandria database.

Structure (POSCAR):
```
CaCuIr2
1.0
2.8068 0.0000 0.0000
0.0000 4.4880 0.0000
-1.2199 0.0000 5.2113
Ca Cu Ir
1 1 2
Direct
0.0000 0.0000 0.0000
0.5000 0.0000 0.5000
0.3443 0.5000 0.7173
0.6557 0.5000 0.2827
```

The electronic total energy comes out at -23.59 eV/f.u. For the formation enthalpy at 0 K, the calculation gives 0.06 eV/atom. Its density of states at the Fermi level is 1.109 states/eV per atom.



The following is a PBE-GGA calculation of BeTcSN2 after structural relaxation, from the Alexandria database.

Structure (POSCAR):
```
BeTcSN2
1.0
3.7440 0.0000 0.0000
0.0000 3.7440 0.0000
0.0000 0.0000 5.2098
Be Tc S N
1 1 1 2
Direct
0.0000 0.0000 0.0000
0.5000 0.5000 0.5000
0.5000 0.5000 0.0000
0.0000 0.5000 0.5000
0.5000 0.0000 0.5000
```

For the formation energy without anion corrections, the calculation gives 0.748 eV/atom. The electronic total energy comes out at -31.13 eV/f.u. Its density of states at the Fermi level is 0.811 states/eV per atom.